# PaBe2RhO8, optimized geometry, DFT PBE
data_PaBe2RhO8
_cell_length_a 5.1830
_cell_length_b 5.1830
_cell_length_c 6.1134
_cell_angle_alpha 90.00
_cell_angle_beta 90.00
_cell_angle_gamma 120.00
_symmetry_space_group_name_H-M 'P -3 m 1'
_symmetry_Int_Tables_number 164
_symmetry_space_group_name_Hall '-P 3 2"'
loop_
_atom_site_label
_atom_site_fract_x
_atom_site_fract_y
_atom_site_fract_z
Pa1 0.0000 0.0000 0.0000
Be1 0.3333 0.6667 0.2203
Rh1 0.0000 0.0000 0.5000
O1 0.1612 0.3223 0.2839
O2 0.3333 0.6667 0.9567
# Uncorrected formation energy   -19.7 eV per formula unit
# Uncorrected energy   -0.25628 hartree per atom
# V   142.2 Å³/cell
# Total magnetization   3.5 μB/f.u.